# 1
The following is a PBE calculation of a relaxed ZnP2H crystal, from Alexandria via LeMat-Bulk.

a = 4.157 Å, b = 4.157 Å, c = 4.157 Å
α = 60.00°, β = 60.00°, γ = 60.00°
Fractional coordinates of all 4 atoms:
Zn1 0.500 0.500 0.500
H1 0.000 0.000 0.000
P1 0.250 0.250 0.250
P2 0.750 0.750 0.750

Output
- Final energy: -0.228 Ry per atom
- Volume: 51 Å³ per cell
- SG: Fm-3m (225)
- N(E_F): 0.3112 states/eV/atom
- Offset from the most stable computed form: 379 meV/atom


# 2
The following is a PBE calculation of a relaxed ZrP3H crystal, from Alexandria via LeMat-Bulk.

a = 5.040 Å, b = 5.040 Å, c = 5.040 Å
α = 90.00°, β = 90.00°, γ = 90.00°
Last column: magnetic moment on the atom in μB.
Fractional coordinates of all 5 atoms:
P1 0.000 0.000 0.500  -0.08
P2 0.500 0.000 0.000  -0.04
P3 0.000 0.500 0.000  -0.05
H1 0.500 0.500 0.500  0.36
Zr1 0.000 0.000 0.000  0.04

Output
- Final energy: -0.349 Ry per atom
- Volume: 128 Å³ per cell
- SG: Pm-3m (221)
- N(E_F): 0.8124 states/eV/atom
- Offset from the most stable computed form: 687 meV/atom


# 3
The following is a PBE calculation of a relaxed ZrPH3 crystal, from Alexandria via LeMat-Bulk.

a = 3.739 Å, b = 3.739 Å, c = 3.739 Å
α = 90.00°, β = 90.00°, γ = 90.00°
Fractional coordinates of all 5 atoms:
Zr1 0.000 0.000 0.000
P1 0.500 0.500 0.500
H1 0.500 0.000 0.000
H2 0.000 0.000 0.500
H3 0.000 0.500 0.000

Output
- Final energy: -0.335 Ry per atom
- Volume: 52 Å³ per cell
- SG: Pm-3m (221)
- N(E_F): 0.2562 states/eV/atom
- Offset from the most stable computed form: 0 meV/atom